(1)
First-principles (GGA-PBE) data for a geometry-optimized Ca2ZrNbO6 structure, as listed in the Alexandria database.

a b c (Å): 5.806 5.806 5.806
angles (deg): 60.00 60.00 60.00
Fractional positions:
1 Ca 0.250 0.250 0.250
2 Ca 0.750 0.750 0.750
3 Zr 0.000 0.000 0.000
4 Nb 0.500 0.500 0.500
5 O 0.254 0.254 0.746
6 O 0.254 0.746 0.254
7 O 0.254 0.746 0.746
8 O 0.746 0.254 0.254
9 O 0.746 0.254 0.746
10 O 0.746 0.746 0.254

Computed properties:
Calculated density in kg/m³: 4323
E_tot in eV per atom: -8.07
Raw formation energy in meV per atom: -2838

***

(2)
First-principles (GGA-PBE) data for a geometry-optimized La4GeI structure, as listed in the Alexandria database.

a b c (Å): 9.437 9.437 7.471
angles (deg): 104.19 104.19 126.71
Fractional positions:
1 La 0.019 0.415 0.233
2 La 0.150 0.295 0.727
3 La 0.295 0.150 0.227
4 La 0.415 0.019 0.733
5 La 0.585 0.981 0.267
6 La 0.705 0.850 0.773
7 La 0.850 0.705 0.273
8 La 0.981 0.585 0.767
9 Ge 0.061 0.939 0.750
10 Ge 0.939 0.061 0.250
11 I 0.436 0.564 0.250
12 I 0.564 0.436 0.750

Computed properties:
Calculated density in kg/m³: 5615
E_tot in eV per atom: -4.84
Raw formation energy in meV per atom: -531

***

(3)
First-principles (GGA-PBE) data for a geometry-optimized Li2ZnCuF6 structure, as listed in the Alexandria database.

a b c (Å): 5.073 5.175 5.438
angles (deg): 63.50 89.66 62.48
Fractional positions:
1 Li 0.000 0.000 0.000
2 Li 0.498 0.984 0.500
3 Zn 0.284 0.425 0.878
4 Cu 0.783 0.420 0.382
5 F 0.036 0.561 0.161
6 F 0.213 0.885 0.704
7 F 0.358 0.966 0.164
8 F 0.570 0.239 0.652
9 F 0.694 0.242 0.169
10 F 0.882 0.541 0.650

Computed properties:
Calculated density in kg/m³: 3890
E_tot in eV per atom: -4.36
Raw formation energy in meV per atom: -2316

***

(4)
First-principles (GGA-PBE) data for a geometry-optimized SmMgGePd structure, as listed in the Alexandria database.

a b c (Å): 4.877 4.877 4.877
angles (deg): 60.00 60.00 60.00
Fractional positions:
1 Sm 0.000 0.000 0.000
2 Mg 0.500 0.500 0.500
3 Ge 0.750 0.750 0.750
4 Pd 0.250 0.250 0.250

Computed properties:
Calculated density in kg/m³: 7163
E_tot in eV per atom: -4.67
Calculated formation energy in eV per formula unit: -2.54

***

(5)
First-principles (GGA-PBE) data for a geometry-optimized YTeCl2 structure, as listed in the Alexandria database.

a b c (Å): 5.684 5.684 5.684
angles (deg): 132.33 132.33 69.72
Fractional positions:
1 Y 0.000 0.000 0.000
2 Te 0.500 0.500 0.000
3 Cl 0.250 0.750 0.500
4 Cl 0.750 0.250 0.500

Computed properties:
Calculated density in kg/m³: 4849
E_tot in eV per atom: -4.37
Raw formation energy in meV per atom: -1046

***

(6)
First-principles (GGA-PBE) data for a geometry-optimized CaRhBr structure, as listed in the Alexandria database.

a b c (Å): 6.432 6.664 6.136
angles (deg): 90.00 90.00 90.00
Fractional positions:
1 Ca 0.123 0.250 0.111
2 Ca 0.377 0.750 0.611
3 Ca 0.623 0.250 0.389
4 Ca 0.877 0.750 0.889
5 Rh 0.211 0.750 0.172
6 Rh 0.289 0.250 0.672
7 Rh 0.711 0.750 0.328
8 Rh 0.789 0.250 0.828
9 Br 0.000 0.000 0.500
10 Br 0.000 0.500 0.500
11 Br 0.500 0.000 0.000
12 Br 0.500 0.500 0.000

Computed properties:
Calculated density in kg/m³: 5629
E_tot in eV per atom: -4.02
Raw formation energy in meV per atom: -340